KRbCoO2: relaxed, GGA+U.

DOS(E_F), states/eV/f.u.: 0.14
Space group: Pmma (51)
E, eV/atom: -4.282

```
10
Lattice="-3.171 2.280 4.062 0.947 -4.348 3.180 5.286 2.956 2.467" Properties=species:S:1:pos:R:3 pbc="T T T"
Co 0.000 0.000 0.000
Co 0.474 -2.174 1.590
Rb 0.806 0.048 6.882
Rb 2.256 0.839 2.828
O 1.374 -2.460 3.282
O 4.660 -0.623 4.816
O -1.598 1.510 4.893
O 1.688 3.347 6.427
K -1.339 0.046 2.814
K -0.885 -2.115 4.428
```